Record 1
VASP calculation (GGA-PBE) on a relaxed CeSe2 crystal.

Summary:
formation energy without anion corrections = -1.47 eV/atom
spin magnetization = 0.0 μB/cell

Geometry as CIF:
```
data_CeSe2
_symmetry_space_group_name_H-M 'C 1 2/m 1'
_symmetry_Int_Tables_number 12
_symmetry_space_group_name_Hall '-C 2y'
_cell_length_a 17.893
_cell_length_b 5.650
_cell_length_c 9.199
_cell_angle_alpha 90.00
_cell_angle_beta 108.11
_cell_angle_gamma 90.00
loop_
_atom_site_label
_atom_site_fract_x
_atom_site_fract_y
_atom_site_fract_z
Ce1 0.108 0.000 0.196
Ce2 0.204 0.000 0.804
Se1 0.058 0.000 0.867
Se2 0.125 0.000 0.502
Se3 0.142 0.500 0.218
Se4 0.235 0.500 0.852
```


Record 2
VASP calculation (GGA-PBE) on a relaxed Ce5Se6 crystal.

Summary:
formation energy without anion corrections = -1.81 eV/atom
spin magnetization = 11.2 μB/cell

Geometry as CIF:
```
data_Ce5Se6
_symmetry_space_group_name_H-M 'C 1 2/m 1'
_symmetry_Int_Tables_number 12
_symmetry_space_group_name_Hall '-C 2y'
_cell_length_a 7.278
_cell_length_b 12.615
_cell_length_c 7.261
_cell_angle_alpha 90.00
_cell_angle_beta 109.50
_cell_angle_gamma 90.00
loop_
_atom_site_label
_atom_site_fract_x
_atom_site_fract_y
_atom_site_fract_z
Ce1 0.000 0.000 0.000
Ce2 0.000 0.167 0.500
Ce3 0.000 0.335 0.000
Se1 0.249 0.334 0.748
Se2 0.249 0.500 0.254
```


Record 3
VASP calculation (GGA-PBE) on a relaxed CeSe2 crystal.

Summary:
formation energy without anion corrections = -1.57 eV/atom
spin magnetization = 2.6 μB/cell

Geometry as CIF:
```
data_CeSe2
_symmetry_space_group_name_H-M 'C 1 2/m 1'
_symmetry_Int_Tables_number 12
_symmetry_space_group_name_Hall '-C 2y'
_cell_length_a 16.797
_cell_length_b 5.610
_cell_length_c 10.773
_cell_angle_alpha 90.00
_cell_angle_beta 109.29
_cell_angle_gamma 90.00
loop_
_atom_site_label
_atom_site_fract_x
_atom_site_fract_y
_atom_site_fract_z
Ce1 0.007 0.000 0.263
Ce2 0.135 0.500 0.627
Ce3 0.171 0.500 0.134
Se1 0.000 0.252 0.000
Se2 0.041 0.500 0.341
Se3 0.116 0.000 0.565
Se4 0.162 0.245 0.874
Se5 0.183 0.000 0.260
```


Record 4
VASP calculation (GGA-PBE) on a relaxed CeSe2 crystal.

Summary:
formation energy without anion corrections = -1.35 eV/atom
spin magnetization = 0.3 μB/cell

Geometry as CIF:
```
data_CeSe2
_symmetry_space_group_name_H-M 'R 3 m'
_symmetry_Int_Tables_number 160
_symmetry_space_group_name_Hall 'R 3 -2"'
_cell_length_a 4.0867
_cell_length_b 4.0867
_cell_length_c 19.8467
_cell_angle_alpha 90.00
_cell_angle_beta 90.00
_cell_angle_gamma 120.00
loop_
_atom_site_label
_atom_site_fract_x
_atom_site_fract_y
_atom_site_fract_z
Ce1 0.0000 0.0000 0.0000
Se1 0.0000 0.0000 0.5819
Se2 0.0000 0.0000 0.7517
```


Record 5
VASP calculation (GGA-PBE) on a relaxed CeSe2 crystal.

Summary:
formation energy without anion corrections = -1.35 eV/atom
spin magnetization = 0.4 μB/cell

Geometry as CIF:
```
data_CeSe2
_symmetry_space_group_name_H-M 'P 63 m c'
_symmetry_Int_Tables_number 186
_symmetry_space_group_name_Hall 'P 6c -2c'
_cell_length_a 4.0819
_cell_length_b 4.0819
_cell_length_c 26.6879
_cell_angle_alpha 90.00
_cell_angle_beta 90.00
_cell_angle_gamma 120.00
loop_
_atom_site_label
_atom_site_fract_x
_atom_site_fract_y
_atom_site_fract_z
Ce1 0.3333 0.6667 0.0000
Ce2 0.3333 0.6667 0.2504
Se1 0.0000 0.0000 0.1871
Se2 0.0000 0.0000 0.3135
Se3 0.3333 0.6667 0.4367
Se4 0.3333 0.6667 0.5633
```


Record 6
VASP calculation (GGA-PBE) on a relaxed CeSe2 crystal.

Summary:
formation energy without anion corrections = -1.35 eV/atom
spin magnetization = 0.2 μB/cell

Geometry as CIF:
```
data_CeSe2
_symmetry_space_group_name_H-M 'P -6 m 2'
_symmetry_Int_Tables_number 187
_symmetry_space_group_name_Hall 'P -6 2'
_cell_length_a 4.1425
_cell_length_b 4.1425
_cell_length_c 6.6115
_cell_angle_alpha 90.00
_cell_angle_beta 90.00
_cell_angle_gamma 120.00
loop_
_atom_site_label
_atom_site_fract_x
_atom_site_fract_y
_atom_site_fract_z
Ce1 0.0000 0.0000 0.0000
Se1 0.3333 0.6667 0.2511
```


Record 7
VASP calculation (GGA-PBE) on a relaxed CeSe2 crystal.

Summary:
formation energy without anion corrections = -0.87 eV/atom
spin magnetization = 1.0 μB/cell

Geometry as CIF:
```
data_CeSe2
_symmetry_space_group_name_H-M 'I 4/m c m'
_symmetry_Int_Tables_number 140
_symmetry_space_group_name_Hall '-I 4 2c'
_cell_length_a 7.759
_cell_length_b 7.759
_cell_length_c 13.431
_cell_angle_alpha 90.00
_cell_angle_beta 90.00
_cell_angle_gamma 90.00
loop_
_atom_site_label
_atom_site_fract_x
_atom_site_fract_y
_atom_site_fract_z
Ce1 0.000 0.000 0.000
Se1 0.247 0.253 0.000
```


Record 8
VASP calculation (GGA-PBE) on a relaxed CeSe2 crystal.

Summary:
formation energy without anion corrections = -1.38 eV/atom
spin magnetization = 3.3 μB/cell

Geometry as CIF:
```
data_CeSe2
_symmetry_space_group_name_H-M 'P 1 2/c 1'
_symmetry_Int_Tables_number 13
_symmetry_space_group_name_Hall '-P 2yc'
_cell_length_a 7.709
_cell_length_b 7.153
_cell_length_c 6.018
_cell_angle_alpha 90.00
_cell_angle_beta 90.06
_cell_angle_gamma 90.00
loop_
_atom_site_label
_atom_site_fract_x
_atom_site_fract_y
_atom_site_fract_z
Ce1 0.246 0.241 0.250
Se1 0.000 0.000 0.000
Se2 0.000 0.500 0.000
Se3 0.500 0.000 0.000
Se4 0.500 0.460 0.750
```


Record 9
VASP calculation (GGA-PBE) on a relaxed CeSe2 crystal.

Summary:
formation energy without anion corrections = -1.60 eV/atom
spin magnetization = 0.7 μB/cell

Geometry as CIF:
```
data_CeSe2
_symmetry_space_group_name_H-M 'P n m a'
_symmetry_Int_Tables_number 62
_symmetry_space_group_name_Hall '-P 2ac 2n'
_cell_length_a 7.536
_cell_length_b 4.268
_cell_length_c 9.101
_cell_angle_alpha 90.00
_cell_angle_beta 90.00
_cell_angle_gamma 90.00
loop_
_atom_site_label
_atom_site_fract_x
_atom_site_fract_y
_atom_site_fract_z
Ce1 0.249 0.250 0.133
Se1 0.038 0.250 0.834
Se2 0.138 0.250 0.437
```


Record 10
VASP calculation (GGA-PBE) on a relaxed CeSe2 crystal.

Summary:
formation energy without anion corrections = -1.55 eV/atom
spin magnetization = 0.0 μB/cell

Geometry as CIF:
```
data_CeSe2
_symmetry_space_group_name_H-M 'P 63/m m c'
_symmetry_Int_Tables_number 194
_symmetry_space_group_name_Hall '-P 6c 2c'
_cell_length_a 4.2850
_cell_length_b 4.2850
_cell_length_c 13.5361
_cell_angle_alpha 90.00
_cell_angle_beta 90.00
_cell_angle_gamma 120.00
loop_
_atom_site_label
_atom_site_fract_x
_atom_site_fract_y
_atom_site_fract_z
Ce1 0.0000 0.0000 0.0000
Se1 0.3333 0.6667 0.1072
```


Record 11
VASP calculation (GGA-PBE) on a relaxed CeSe2 crystal.

Summary:
formation energy without anion corrections = -1.47 eV/atom
spin magnetization = 2.9 μB/cell

Geometry as CIF:
```
data_CeSe2
_symmetry_space_group_name_H-M 'C m c m'
_symmetry_Int_Tables_number 63
_symmetry_space_group_name_Hall '-C 2c 2'
_cell_length_a 4.074
_cell_length_b 20.102
_cell_length_c 4.091
_cell_angle_alpha 90.00
_cell_angle_beta 90.00
_cell_angle_gamma 90.00
loop_
_atom_site_label
_atom_site_fract_x
_atom_site_fract_y
_atom_site_fract_z
Ce1 0.000 0.138 0.250
Se1 0.000 0.250 0.750
Se2 0.000 0.408 0.250
```


Record 12
VASP calculation (GGA-PBE) on a relaxed CeSe2 crystal.

Summary:
formation energy without anion corrections = -1.44 eV/atom
spin magnetization = 0.7 μB/cell

Geometry as CIF:
```
data_CeSe2
_symmetry_space_group_name_H-M 'I b a m'
_symmetry_Int_Tables_number 72
_symmetry_space_group_name_Hall '-I 2 2c'
_cell_length_a 6.453
_cell_length_b 6.465
_cell_length_c 7.308
_cell_angle_alpha 90.00
_cell_angle_beta 90.00
_cell_angle_gamma 90.00
loop_
_atom_site_label
_atom_site_fract_x
_atom_site_fract_y
_atom_site_fract_z
Ce1 0.000 0.000 0.250
Se1 0.172 0.328 0.000
```